(1)
Here is a relaxed structure of ReAs2Br from Alexandria. Energies are from PBE-GGA.

Values from the calculation:
E ... -5.362 eV/atom
V ... 84.7 Å³ per cell

a b c (Å): 3.315 3.315 7.705
angles (deg): 90.00 90.00 90.00
Atoms (fractional coordinates):
As 0.000 0.000 0.965
Br 0.000 0.000 0.566
Re 0.500 0.500 0.819
As 0.500 0.500 0.150

***

(2)
Here is a relaxed structure of Th4Cd5In2 from Alexandria. Energies are from PBE-GGA.

Values from the calculation:
E ... -3.741 eV/atom
ΔE_f ... -129 meV per atom
V ... 297.9 Å³ per cell

a b c (Å): 3.375 8.240 10.744
angles (deg): 94.48 90.00 90.00
Atoms (fractional coordinates):
Cd 0.000 0.500 0.000
Th 0.500 0.155 0.893
Cd 0.000 0.568 0.286
Cd 0.000 0.432 0.714
In 0.000 0.945 0.364
Th 0.500 0.711 0.555
In 0.000 0.055 0.636
Th 0.500 0.845 0.107
Th 0.500 0.289 0.445
Cd 0.000 0.209 0.167
Cd 0.000 0.791 0.833

***

(3)
Here is a relaxed structure of LaNd6Tm2Th from Alexandria. Energies are from PBE-GGA.

Values from the calculation:
E ... -4.852 eV/atom
ΔE_f ... 137 meV per atom
V ... 690.5 Å³ per cell

a b c (Å): 9.805 8.898 8.898
angles (deg): 116.09 94.17 94.17
Atoms (fractional coordinates):
Tm 0.551 0.196 0.288
Nd 0.058 0.105 0.763
Tm 0.949 0.712 0.804
Nd 0.442 0.237 0.895
Nd 0.683 0.017 0.577
Th 0.750 0.033 0.967
La 0.250 0.404 0.596
Nd 0.817 0.423 0.983
La 0.750 0.596 0.404
Nd 0.558 0.763 0.105
Nd 0.120 0.702 0.487
Nd 0.317 0.983 0.423
Nd 0.942 0.895 0.237
Tm 0.449 0.804 0.712
Nd 0.183 0.577 0.017
Th 0.250 0.967 0.033
Nd 0.880 0.298 0.513
Tm 0.051 0.288 0.196
Nd 0.380 0.513 0.298
Nd 0.620 0.487 0.702

***

The calculation returns the following Fermi-level density of states values, one per record and in order: 3.02 9.65 28.85 states/eV per cell.